(1)
Sr2ErN | PBE | optimized geometry

The structure in CIF format:
```
data_Sr2ErN
_chemical_formula_sum 'Sr6 Er3 N3'
_symmetry_space_group_name_H-M 'R -3 m'
_symmetry_Int_Tables_number 166
_symmetry_space_group_name_Hall '-R 3 2"'
_cell_length_a 3.6826
_cell_length_b 3.6826
_cell_length_c 31.0085
_cell_angle_alpha 90.00
_cell_angle_beta 90.00
_cell_angle_gamma 120.00
loop_
_atom_site_label
_atom_site_fract_x
_atom_site_fract_y
_atom_site_fract_z
Sr1 0.0000 0.0000 0.1212
Er1 0.0000 0.0000 0.0000
N1 0.0000 0.0000 0.5000
```

**Final energy**: -51.1 eV/cell
**ρ**: 4.88 g cm⁻³


(2)
Ho8SiGe5 | PBE | optimized geometry

The structure in CIF format:
```
data_Ho8SiGe5
_chemical_formula_sum 'Ho16 Si2 Ge10'
_symmetry_space_group_name_H-M 'I -4'
_symmetry_Int_Tables_number 82
_cell_length_a 8.7880
_cell_length_b 8.7880
_cell_length_c 8.7834
_cell_angle_alpha 90.00
_cell_angle_beta 90.00
_cell_angle_gamma 90.00
loop_
_symmetry_equiv_pos_as_xyz
'x,y,z'
'y,-x,-z'
'-x,-y,z'
'-y,x,-z'
'x+1/2,y+1/2,z+1/2'
'y+1/2,-x+1/2,-z+1/2'
'-x+1/2,-y+1/2,z+1/2'
'-y+1/2,x+1/2,-z+1/2'
loop_
_atom_site_label
_atom_site_fract_x
_atom_site_fract_y
_atom_site_fract_z
Ho1 0.0658 0.1852 0.3090
Ho2 0.0660 0.3165 0.9423
Si1 0.0000 0.5000 0.2500
Ge1 0.0000 0.0000 0.0000
Ge2 0.1248 0.2501 0.6255
```

**Final energy**: -153.7 eV/cell
**ρ**: 8.38 g cm⁻³


(3)
LiTaMn2 | PBE | optimized geometry

The structure in CIF format:
```
data_LiTaMn2
_chemical_formula_sum 'Li4 Ta4 Mn8'
_symmetry_space_group_name_H-M 'F -4 3 m'
_symmetry_Int_Tables_number 216
_symmetry_space_group_name_Hall 'F -4 2 3'
_cell_length_a 5.9670
_cell_length_b 5.9670
_cell_length_c 5.9670
_cell_angle_alpha 90.00
_cell_angle_beta 90.00
_cell_angle_gamma 90.00
loop_
_atom_site_label
_atom_site_fract_x
_atom_site_fract_y
_atom_site_fract_z
Li1 0.0000 0.0000 0.0000
Ta1 0.2500 0.2500 0.7500
Mn1 0.0000 0.0000 0.5000
Mn2 0.2500 0.2500 0.2500
```

**Final energy**: -123.6 eV/cell
**ρ**: 9.31 g cm⁻³


(4)
KBe2F | PBE | optimized geometry

The structure in CIF format:
```
data_KBe2F
_chemical_formula_sum 'K4 Be8 F4'
_symmetry_space_group_name_H-M 'I 41/a m d'
_symmetry_Int_Tables_number 141
_cell_length_a 4.0709
_cell_length_b 4.0709
_cell_length_c 19.4307
_cell_angle_alpha 90.00
_cell_angle_beta 90.00
_cell_angle_gamma 90.00
loop_
_symmetry_equiv_pos_as_xyz
'x,y,z'
'-x,-y,-z'
'-y+1/4,x+3/4,z+1/4'
'y+1/4,-x+3/4,-z+1/4'
'-x+1/2,-y,z+1/2'
'x+1/2,y,-z+1/2'
'y+1/4,-x+1/4,z+3/4'
'-y+1/4,x+1/4,-z+3/4'
'x,-y,-z'
'-x,y,z'
'-y+1/4,-x+1/4,-z+3/4'
'y+1/4,x+1/4,z+3/4'
'-x+1/2,y,-z+1/2'
'x+1/2,-y,z+1/2'
'y+1/4,x+3/4,-z+1/4'
'-y+1/4,-x+3/4,z+1/4'
'x+1/2,y+1/2,z+1/2'
'-x+1/2,-y+1/2,-z+1/2'
'-y+3/4,x+1/4,z+3/4'
'y+3/4,-x+1/4,-z+3/4'
'-x,-y+1/2,z'
'x,y+1/2,-z'
'y+3/4,-x+3/4,z+1/4'
'-y+3/4,x+3/4,-z+1/4'
'x+1/2,-y+1/2,-z+1/2'
'-x+1/2,y+1/2,z+1/2'
'-y+3/4,-x+3/4,-z+1/4'
'y+3/4,x+3/4,z+1/4'
'-x,y+1/2,-z'
'x,-y+1/2,z'
'y+3/4,x+1/4,-z+3/4'
'-y+3/4,-x+1/4,z+3/4'
loop_
_atom_site_label
_atom_site_fract_x
_atom_site_fract_y
_atom_site_fract_z
K1 0.0000 0.2500 0.3750
Be1 0.0000 0.0000 0.0000
F1 0.0000 0.2500 0.8750
```

**Final energy**: -44.5 eV/cell
**Distance to the lowest polymorph of the same formula**: 0.000 eV per atom
**ρ**: 1.57 g cm⁻³


(5)
K2LaMnS4 | PBE | optimized geometry

The structure in CIF format:
```
data_K2LaMnS4
_chemical_formula_sum 'K8 La4 Mn4 S16'
_symmetry_space_group_name_H-M 'C 1 m 1'
_symmetry_Int_Tables_number 8
_cell_length_a 14.8663
_cell_length_b 8.5862
_cell_length_c 7.6675
_cell_angle_alpha 90.00
_cell_angle_beta 120.99
_cell_angle_gamma 90.00
loop_
_symmetry_equiv_pos_as_xyz
'x,y,z'
'x,-y,z'
'x+1/2,y+1/2,z'
'x+1/2,-y+1/2,z'
loop_
_atom_site_label
_atom_site_fract_x
_atom_site_fract_y
_atom_site_fract_z
K1 0.0000 0.0000 0.0000
K2 0.0611 0.0000 0.5602
K3 0.2809 0.2500 0.5224
La1 0.2803 0.2500 0.0418
Mn1 0.0059 0.5000 0.0253
Mn2 0.0552 0.5000 0.5746
S1 0.0191 0.3219 0.2856
S2 0.0419 0.3217 0.8084
S3 0.2305 0.0000 0.2038
S4 0.2514 0.5000 0.7682
S5 0.3097 0.0000 0.8267
S6 0.3306 0.5000 0.3033
```

**Final energy**: -171.6 eV/cell
**ρ**: 3.17 g cm⁻³


(6)
ZrTiN3 | PBE | optimized geometry

The structure in CIF format:
```
data_ZrTiN3
_chemical_formula_sum 'Zr1 Ti1 N3'
_symmetry_space_group_name_H-M 'P m -3 m'
_symmetry_Int_Tables_number 221
_symmetry_space_group_name_Hall '-P 4 2 3'
_cell_length_a 4.1030
_cell_length_b 4.1030
_cell_length_c 4.1030
_cell_angle_alpha 90.00
_cell_angle_beta 90.00
_cell_angle_gamma 90.00
loop_
_atom_site_label
_atom_site_fract_x
_atom_site_fract_y
_atom_site_fract_z
Zr1 0.0000 0.0000 0.0000
Ti1 0.5000 0.5000 0.5000
N1 0.0000 0.0000 0.5000
```

**Final energy**: -39.1 eV/cell
**ρ**: 4.35 g cm⁻³


(7)
Sn4Sb2Br3 | PBE | optimized geometry

The structure in CIF format:
```
data_Sn4Sb2Br3
_chemical_formula_sum 'Sn8 Sb4 Br6'
_symmetry_space_group_name_H-M 'C 1 2/m 1'
_symmetry_Int_Tables_number 12
_cell_length_a 7.6079
_cell_length_b 4.3934
_cell_length_c 18.0848
_cell_angle_alpha 90.00
_cell_angle_beta 90.09
_cell_angle_gamma 90.00
loop_
_symmetry_equiv_pos_as_xyz
'x,y,z'
'-x,-y,-z'
'-x,y,-z'
'x,-y,z'
'x+1/2,y+1/2,z'
'-x+1/2,-y+1/2,-z'
'-x+1/2,y+1/2,-z'
'x+1/2,-y+1/2,z'
loop_
_atom_site_label
_atom_site_fract_x
_atom_site_fract_y
_atom_site_fract_z
Sn1 0.0026 0.0000 0.3112
Sn2 0.1655 0.5000 0.8814
Sb1 0.1680 0.5000 0.2077
Br1 0.0000 0.0000 0.0000
Br2 0.1650 0.5000 0.5955
```

**Final energy**: -64.1 eV/cell
**ρ**: 5.26 g cm⁻³


(8)
LaNdSbAs | PBE | optimized geometry

The structure in CIF format:
```
data_LaNdSbAs
_chemical_formula_sum 'La3 Nd3 Sb3 As3'
_symmetry_space_group_name_H-M 'R 3 m'
_symmetry_Int_Tables_number 160
_symmetry_space_group_name_Hall 'R 3 -2"'
_cell_length_a 4.4382
_cell_length_b 4.4382
_cell_length_c 21.9041
_cell_angle_alpha 90.00
_cell_angle_beta 90.00
_cell_angle_gamma 120.00
loop_
_atom_site_label
_atom_site_fract_x
_atom_site_fract_y
_atom_site_fract_z
La1 0.0000 0.0000 0.0000
Nd1 0.0000 0.0000 0.4897
Sb1 0.0000 0.0000 0.2431
As1 0.0000 0.0000 0.7459
```

**Final energy**: -71.9 eV/cell
**ρ**: 6.40 g cm⁻³


(9)
BaLi2HgCl8 | PBE | optimized geometry

The structure in CIF format:
```
data_BaLi2HgCl8
_chemical_formula_sum 'Ba1 Li2 Hg1 Cl8'
_symmetry_space_group_name_H-M 'P -3'
_symmetry_Int_Tables_number 147
_cell_length_a 6.4746
_cell_length_b 6.4746
_cell_length_c 8.5617
_cell_angle_alpha 90.00
_cell_angle_beta 90.00
_cell_angle_gamma 120.00
loop_
_symmetry_equiv_pos_as_xyz
'x,y,z'
'-x,-y,-z'
'-y,x-y,z'
'y,-x+y,-z'
'-x+y,-x,z'
'x-y,x,-z'
loop_
_atom_site_label
_atom_site_fract_x
_atom_site_fract_y
_atom_site_fract_z
Ba1 0.0000 0.0000 0.0000
Li1 0.3333 0.6667 0.7195
Hg1 0.0000 0.0000 0.5000
Cl1 0.0256 0.7032 0.3080
Cl2 0.3333 0.6667 0.9975
```

**Final energy**: -35.1 eV/cell
**ρ**: 3.39 g cm⁻³


(10)
Th4Cu2Pb | PBE | optimized geometry

The structure in CIF format:
```
data_Th4Cu2Pb
_chemical_formula_sum 'Th12 Cu6 Pb3'
_symmetry_space_group_name_H-M 'R -3 m'
_symmetry_Int_Tables_number 166
_symmetry_space_group_name_Hall '-R 3 2"'
_cell_length_a 4.4931
_cell_length_b 4.4931
_cell_length_c 34.6369
_cell_angle_alpha 90.00
_cell_angle_beta 90.00
_cell_angle_gamma 120.00
loop_
_atom_site_label
_atom_site_fract_x
_atom_site_fract_y
_atom_site_fract_z
Th1 0.0000 0.0000 0.1106
Th2 0.0000 0.0000 0.3029
Cu1 0.0000 0.0000 0.4018
Pb1 0.0000 0.0000 0.5000
```

**Final energy**: -122.8 eV/cell
**ρ**: 10.39 g cm⁻³


(11)
TmScCd14 | PBE | optimized geometry

The structure in CIF format:
```
data_TmScCd14
_chemical_formula_sum 'Tm1 Sc1 Cd14'
_symmetry_space_group_name_H-M 'P 4/m m m'
_symmetry_Int_Tables_number 123
_symmetry_space_group_name_Hall '-P 4 2'
_cell_length_a 6.5073
_cell_length_b 6.5073
_cell_length_c 8.4807
_cell_angle_alpha 90.00
_cell_angle_beta 90.00
_cell_angle_gamma 90.00
loop_
_atom_site_label
_atom_site_fract_x
_atom_site_fract_y
_atom_site_fract_z
Tm1 0.0000 0.0000 0.0000
Sc1 0.5000 0.5000 0.0000
Cd1 0.0000 0.0000 0.5000
Cd2 0.0000 0.5000 0.0000
Cd3 0.0000 0.5000 0.5000
Cd4 0.2532 0.2532 0.2528
Cd5 0.5000 0.5000 0.5000
```

**Final energy**: -25.4 eV/cell
**ρ**: 8.27 g cm⁻³


(12)
TbCrFeP2 | PBE | optimized geometry

The structure in CIF format:
```
data_TbCrFeP2
_chemical_formula_sum 'Tb2 Cr2 Fe2 P4'
_symmetry_space_group_name_H-M 'I -4 m 2'
_symmetry_Int_Tables_number 119
_symmetry_space_group_name_Hall 'I -4 -2'
_cell_length_a 3.8769
_cell_length_b 3.8769
_cell_length_c 9.7439
_cell_angle_alpha 90.00
_cell_angle_beta 90.00
_cell_angle_gamma 90.00
loop_
_atom_site_label
_atom_site_fract_x
_atom_site_fract_y
_atom_site_fract_z
Tb1 0.0000 0.0000 0.0000
Cr1 0.0000 0.5000 0.7500
Fe1 0.0000 0.5000 0.2500
P1 0.0000 0.0000 0.3692
```

**Final energy**: -75.8 eV/cell
**ρ**: 7.45 g cm⁻³


Look up the ρ of the eleventh one. 8.27 g cm⁻³


Which of these has the lowest ρ? KBe2F


Which value of ρ does entry 11 give? 8.27 g cm⁻³